Record 1
GdInCuHg: relaxed, PBE-GGA.

Lattice parameters (Å, degrees): 4.982 4.982 4.982 60.00 60.00 60.00
Fractional coordinates of all 4 atoms:
Gd  0.000  0.000  0.000
In  0.500  0.500  0.500
Cu  0.250  0.250  0.250
Hg  0.750  0.750  0.750

Summary:
Crystal system: cubic
Formation energy (meV per atom): -285
E_tot (eV per formula unit): -22.36
Space group: F-43m (216)



Record 2
K3Rb3HgF8: relaxed, PBE-GGA.

Lattice parameters (Å, degrees): 7.870 7.870 7.870 58.98 58.98 58.98
Fractional coordinates of all 15 atoms:
K  0.000  0.500  0.500
K  0.500  0.000  0.500
K  0.500  0.500  0.000
Rb  0.000  0.000  0.500
Rb  0.000  0.500  0.000
Rb  0.500  0.000  0.000
Hg  0.000  0.000  0.000
F  0.215  0.215  0.776
F  0.215  0.776  0.215
F  0.224  0.785  0.785
F  0.255  0.255  0.255
F  0.745  0.745  0.745
F  0.776  0.215  0.215
F  0.785  0.224  0.785
F  0.785  0.785  0.224

Summary:
Crystal system: trigonal
E_tot (eV per formula unit): -58.56
Space group: R-3m (166)



Record 3
SiPC3: relaxed, PBE-GGA.

Lattice parameters (Å, degrees): 3.779 3.779 3.779 90.00 90.00 90.00
Fractional coordinates of all 5 atoms:
Si  0.000  0.000  0.000
P  0.500  0.500  0.500
C  0.000  0.000  0.500
C  0.000  0.500  0.000
C  0.500  0.000  0.000

Summary:
Crystal system: cubic
E_tot (eV per formula unit): -27.35
Distance to the lowest polymorph of the same formula (meV/atom): 152.0
Space group: Pm-3m (221)